Sr2Br (PBE-GGA, relaxed); uncorrected energy = -0.178 Ry per atom; crystal system = tetragonal; offset from the most stable computed form = 212 meV per atom; volume = 491 Å³ per cell; uncorrected formation energy = -0.75 eV/atom; symmetry = I4_1/amd; Fermi-level density of states = 0.84 states/eV/atom
1.0
3.8972 0.0000 0.0000
0.0000 3.8972 0.0000
0.0000 0.0000 32.3574
Sr Br
8 4
Cartesian
0.0000 0.9743 9.8122
0.0000 0.9743 14.4558
0.0000 2.9229 17.9016
0.0000 2.9229 22.5452
1.9486 0.9743 1.7229
1.9486 0.9743 6.3665
1.9486 2.9229 25.9909
1.9486 2.9229 30.6345
0.0000 0.9743 28.3127
0.0000 2.9229 4.0447
1.9486 0.9743 20.2234
1.9486 2.9229 12.1340

---

CeGaTc2Ge (PBE-GGA, relaxed); uncorrected energy = -0.529 Ry per atom; crystal system = orthorhombic; volume = 188 Å³ per cell; calculated formation energy = -1.70 eV per formula unit; symmetry = Cmcm; Fermi-level density of states = 1.17 states/eV/atom
1.0
2.9065 -5.5793 0.0000
2.9065 5.5793 0.0000
0.0000 0.0000 5.8067
Ce Ga Tc Ge
2 2 4 2
Cartesian
2.9065 2.9144 4.3550
2.9065 -2.9144 1.4517
2.9065 4.2954 1.4517
2.9065 -4.2954 4.3550
1.7166 0.0000 0.0000
1.7166 0.0000 2.9033
4.0965 0.0000 0.0000
4.0965 0.0000 2.9033
2.9065 1.7595 1.4517
2.9065 -1.7595 4.3550

---

Ca2DyReO6 (PBE-GGA, relaxed); uncorrected energy = -0.554 Ry per atom; crystal system = tetragonal; volume = 153 Å³ per cell; uncorrected formation energy = -2.46 eV/atom; symmetry = P4mm; Fermi-level density of states = 0.07 states/eV/atom
1.0
5.5666 0.0000 0.0000
0.0000 5.5666 0.0000
0.0000 0.0000 4.9362
Ca Dy Re O
2 1 1 6
Cartesian
0.0000 2.7833 0.0000
2.7833 0.0000 0.0000
0.0000 0.0000 2.9716
2.7833 2.7833 2.8877
0.0000 0.0000 0.8412
1.4998 1.4998 3.6502
1.4998 4.0667 3.6502
2.7833 2.7833 1.1339
4.0667 1.4998 3.6502
4.0667 4.0667 3.6502